No. 1
# BaHg2Br2

A geometry-optimized BaHg2Br2 structure (PBE, Alexandria).

The calculation puts the energy above the most stable polymorph in this dataset at 0.0 meV per atom. Its calculated total energy is -2.329 eV per atom.

The structure belongs to space group I4/mmm (No. 139); the cell edges are 4.1824, 4.1824 and 21.2457 Å and the angles 90.00°, 90.00° and 90.00°. The inequivalent atoms are Ba at (0.0000, 0.0000, 0.0000), Hg at (0.0000, 0.5000, 0.2500) and Br at (0.0000, 0.0000, 0.4174).



No. 2
# BaHgBr2

A geometry-optimized BaHgBr2 structure (PBE, Alexandria).

The calculation puts the energy above the most stable polymorph in this dataset at 104.3 meV per atom. Its calculated total energy is -2.862 eV per atom.

The structure belongs to space group Pm (No. 6); the cell edges are 4.7416, 5.0662 and 6.4368 Å and the angles 90.00°, 111.58° and 90.00°. The inequivalent atoms are Ba at (0.0000, 0.0000, 0.0000), Hg at (0.8074, 0.5000, 0.6182), Br at (0.2830, 0.0000, 0.5681) and Br at (0.5485, 0.5000, 0.0979).



No. 3
# BaHg4Br12

A geometry-optimized BaHg4Br12 structure (PBE, Alexandria).

Its calculated total energy is -1.914 eV per atom.

The structure belongs to space group Im-3 (No. 204); the cell edges are 10.6502, 10.6502 and 10.6502 Å and the angles 90.00°, 90.00° and 90.00°. The inequivalent atoms are Ba at (0.0000, 0.0000, 0.0000), Hg at (0.2500, 0.2500, 0.2500) and Br at (0.0000, 0.1776, 0.2872).



No. 4
# BaHg2Br2

A geometry-optimized BaHg2Br2 structure (PBE, Alexandria).

The calculation puts the energy above the most stable polymorph in this dataset at 256.0 meV per atom. Its calculated total energy is -2.073 eV per atom.

The structure belongs to space group I4/mmm (No. 139); the cell edges are 6.4033, 6.4033 and 9.4449 Å and the angles 90.00°, 90.00° and 90.00°. The inequivalent atoms are Ba at (0.0000, 0.0000, 0.0000), Hg at (0.0000, 0.0000, 0.3502) and Br at (0.0000, 0.5000, 0.2500).



No. 5
# BaHgBr

A geometry-optimized BaHgBr structure (PBE, Alexandria).

The calculation puts the energy above the most stable polymorph in this dataset at 388.6 meV per atom. Its calculated total energy is -2.143 eV per atom.

The structure belongs to space group F-43m (No. 216); the cell edges are 7.8474, 7.8474 and 7.8474 Å and the angles 90.00°, 90.00° and 90.00°. The inequivalent atoms are Ba at (0.0000, 0.0000, 0.0000), Hg at (0.2500, 0.2500, 0.2500) and Br at (0.0000, 0.0000, 0.5000).



No. 6
# BaHgBr

A geometry-optimized BaHgBr structure (PBE, Alexandria).

The calculation puts the energy above the most stable polymorph in this dataset at 3.7 meV per atom. Its calculated total energy is -2.528 eV per atom.

The structure belongs to space group I4/mmm (No. 139); the cell edges are 4.5382, 4.5382 and 20.6956 Å and the angles 90.00°, 90.00° and 90.00°. The inequivalent atoms are Ba at (0.0000, 0.0000, 0.1373), Hg at (0.0000, 0.5000, 0.0000) and Br at (0.0000, 0.0000, 0.3063).



No. 7
# BaHg4Br

A geometry-optimized BaHg4Br structure (PBE, Alexandria).

Its calculated total energy is -1.314 eV per atom.

The structure belongs to space group F-43m (No. 216); the cell edges are 9.0854, 9.0854 and 9.0854 Å and the angles 90.00°, 90.00° and 90.00°. The inequivalent atoms are Ba at (0.0000, 0.0000, 0.0000), Hg at (0.1240, 0.1240, 0.3760) and Br at (0.2500, 0.2500, 0.7500).



No. 8
# BaHgBr

A geometry-optimized BaHgBr structure (PBE, Alexandria).

The calculation puts the energy above the most stable polymorph in this dataset at 0.0 meV per atom. Its calculated total energy is -2.531 eV per atom.

The structure belongs to space group P4/nmm (No. 129, origin choice 2); the cell edges are 4.5226, 4.5226 and 10.3160 Å and the angles 90.00°, 90.00° and 90.00°. The inequivalent atoms are Ba at (0.2500, 0.2500, 0.2272), Hg at (0.2500, 0.7500, 0.5000) and Br at (0.2500, 0.2500, 0.8897).



Uncorrected formation energy readings, ordered: -1154, -1469, -549, -898, -844, -1228, -514, -1232 meV per atom